This record from Alexandria via LeMat-Bulk describes crystalline Au5C at its relaxed geometry. The functional is PBE-GGA.

Cell and atoms, written as POSCAR:
```
Au5C
1.0
4.395 0.000 0.000
0.000 2.077 5.982
0.000 -2.077 5.982
Au C
5 1
Direct
0.000 0.000 0.000
0.000 0.298 0.298
0.500 0.150 0.150
0.500 0.484 0.484
0.500 0.809 0.809
0.000 0.481 0.481
```

## Properties
Crystal system: orthorhombic
Energy, eV/atom: -3.63
DFT formation energy, eV/f.u.: 3.81
Energy above the most stable polymorph in this dataset, meV per atom: 0



This record from Alexandria via LeMat-Bulk describes crystalline NaAcMg at its relaxed geometry. The functional is PBE-GGA.

Cell and atoms, written as POSCAR:
```
NaAcMg
1.0
-1.873 1.873 7.699
1.873 -1.873 7.699
1.873 1.873 -7.699
Na Ac Mg
1 1 1
Direct
0.000 0.000 0.000
0.298 0.298 0.000
0.646 0.646 0.000
```

## Properties
Crystal system: tetragonal
Energy, eV/atom: -2.22
DFT formation energy, eV/f.u.: 0.36
Energy above the most stable polymorph in this dataset, meV per atom: 16



This record from Alexandria via LeMat-Bulk describes crystalline K4Y3 at its relaxed geometry. The functional is PBE-GGA.

Cell and atoms, written as POSCAR:
```
K4Y3
1.0
7.055 0.000 0.000
-3.528 6.110 0.000
0.000 0.000 7.838
K Y
4 3
Direct
0.000 0.000 0.245
0.000 0.000 0.755
0.333 0.667 0.000
0.667 0.333 0.000
0.000 0.500 0.500
0.500 0.000 0.500
0.500 0.500 0.500
```

## Properties
Crystal system: hexagonal
Energy, eV/atom: -2.94
DFT formation energy, eV/f.u.: 3.19



This record from Alexandria via LeMat-Bulk describes crystalline TbPS4Br at its relaxed geometry. The functional is PBE-GGA.

Cell and atoms, written as POSCAR:
```
TbPS4Br
1.0
5.351 -4.393 0.000
5.351 4.393 0.000
-1.118 0.000 8.787
Tb P S Br
2 2 8 2
Direct
0.194 0.194 0.063
0.806 0.806 0.937
0.392 0.392 0.761
0.608 0.608 0.239
0.156 0.512 0.893
0.310 0.310 0.546
0.425 0.425 0.277
0.488 0.844 0.107
0.512 0.156 0.893
0.575 0.575 0.723
0.690 0.690 0.454
0.844 0.488 0.107
0.022 0.022 0.789
0.978 0.978 0.211
```

## Properties
Crystal system: monoclinic
Energy, eV/atom: -4.78
ΔE_f (raw), meV/atom: -749



This record from Alexandria via LeMat-Bulk describes crystalline Te2Ru at its relaxed geometry. The functional is PBE-GGA.

Cell and atoms, written as POSCAR:
```
Te2Ru
1.0
0.000 4.309 4.309
4.309 0.000 4.309
4.309 4.309 0.000
Te Ru
4 2
Direct
0.000 0.000 0.000
0.000 0.000 0.500
0.000 0.500 0.000
0.500 0.000 0.000
0.375 0.375 0.375
0.625 0.625 0.625
```

## Properties
Crystal system: cubic
Energy, eV/atom: -3.61
ΔE_f (raw), meV/atom: 1579